Record 1
Computed, not measured: a geometry-optimized LiPrHoCo structure at the PBE level of DFT.

Calculated values
* energy of formation from the pure elements: -0.0037 eV per atom

Structure (POSCAR):
```
LiPrHoCo
1.0
0.000 3.506 3.506
3.506 0.000 3.506
3.506 3.506 0.000
Li Pr Ho Co
1 1 1 1
Direct
0.000 0.000 0.000
0.250 0.250 0.250
0.750 0.750 0.750
0.500 0.500 0.500
```

Record 2
Computed, not measured: a geometry-optimized NaHf2GaP structure at the PBE level of DFT.

Calculated values
* relative energy among the computed polymorphs: 1451 meV/atom
* energy of formation from the pure elements: 1.4740 eV per atom

Structure (POSCAR):
```
NaHf2GaP
1.0
4.973 0.000 0.000
0.000 4.973 0.000
0.000 0.000 4.523
Na Hf Ga P
1 2 1 1
Direct
0.000 0.000 0.000
0.000 0.500 0.000
0.500 0.000 0.000
0.000 0.000 0.500
0.500 0.500 0.500
```

Record 3
Computed, not measured: a geometry-optimized PuCrC structure at the PBE level of DFT.

Calculated values
* relative energy among the computed polymorphs: 102 meV/atom
* energy of formation from the pure elements: 0.1960 eV per atom

Structure (POSCAR):
```
PuCrC
1.0
3.518 0.000 0.000
-1.759 3.046 0.000
0.000 0.000 3.901
Pu Cr C
1 1 1
Direct
0.000 0.000 0.000
0.667 0.333 0.500
0.333 0.667 0.500
```

Record 4
Computed, not measured: a geometry-optimized SrTcAs2 structure at the PBE level of DFT.

Calculated values
* relative energy among the computed polymorphs: 129 meV/atom
* energy of formation from the pure elements: -0.3140 eV per atom

Structure (POSCAR):
```
SrTcAs2
1.0
-3.650 3.650 3.830
3.650 -3.650 3.830
3.650 3.650 -3.830
Sr Tc As
2 2 4
Direct
0.000 0.000 0.000
0.750 0.250 0.500
0.250 0.750 0.500
0.500 0.500 0.000
0.206 0.625 0.081
0.375 0.456 0.581
0.544 0.125 0.919
0.875 0.794 0.419
```

Record 5
Computed, not measured: a geometry-optimized TlCoTe2 structure at the PBE level of DFT.

Calculated values
* uncorrected formation energy: 0.315 eV/atom

Structure (POSCAR):
```
TlCoTe2
1.0
4.224 0.000 0.000
0.000 4.225 0.000
-0.027 0.000 5.944
Tl Co Te
1 1 2
Direct
0.000 0.000 0.000
0.500 0.500 0.500
0.000 0.000 0.500
0.500 0.500 0.000
```

Record 6
Computed, not measured: a geometry-optimized CdAs2P structure at the PBE level of DFT.

Calculated values
* relative energy among the computed polymorphs: 378 meV/atom
* energy of formation from the pure elements: 0.4894 eV per atom

Structure (POSCAR):
```
CdAs2P
1.0
-2.532 2.532 3.028
2.532 -2.532 3.028
2.532 2.532 -3.028
Cd As P
1 2 1
Direct
0.000 0.000 0.000
0.250 0.750 0.500
0.750 0.250 0.500
0.500 0.500 0.000
```

Record 7
Computed, not measured: a geometry-optimized AcNdAg4 structure at the PBE level of DFT.

Calculated values
* relative energy among the computed polymorphs: 12 meV/atom
* energy of formation from the pure elements: -0.2708 eV per atom

Structure (POSCAR):
```
AcNdAg4
1.0
3.816 0.000 0.000
0.000 4.879 0.000
0.000 0.000 8.308
Ac Nd Ag
1 1 4
Direct
0.000 0.000 0.000
0.000 0.500 0.500
0.500 0.000 0.336
0.500 0.000 0.664
0.500 0.500 0.172
0.500 0.500 0.828
```

Record 8
Computed, not measured: a geometry-optimized MnCrCo2 structure at the PBE level of DFT.

Calculated values
* energy of formation from the pure elements: 0.1178 eV per atom

Structure (POSCAR):
```
MnCrCo2
1.0
2.921 0.000 0.000
0.000 2.921 0.000
0.000 0.000 5.378
Mn Cr Co
1 1 2
Direct
0.000 0.000 0.000
0.500 0.500 0.761
0.000 0.000 0.499
0.500 0.500 0.261
```